Entry from Alexandria: a relaxed PdC2N2 crystal (GGA-PBE).

Summary:
V ... 414.9 Å³/cell
Space group ... Cmce
Energy relative to the lowest polymorph listed for this composition ... 0.000 eV per atom

a b c (Å): 5.1327 5.1327 15.7497
angles (deg): 90.00 90.00 90.78
Last column: nearest neighbours and their distance in Å.
Positions (direct):
C: 0.1176 0.5099 0.1213  1 N 1.17
C: 0.3824 0.9901 0.6213  1 N 1.17
C: 0.9901 0.3824 0.3787  1 N 1.17
C: 0.6176 0.0099 0.3787  1 N 1.17
C: 0.8824 0.4901 0.8787  1 N 1.17
C: 0.0099 0.6176 0.6213  1 N 1.17
C: 0.4901 0.8824 0.1213  1 N 1.17
C: 0.5099 0.1176 0.8787  1 N 1.17
Pd: 0.6124 0.3876 0.3789  2 C 1.94, 2 N 2.03
Pd: 0.8876 0.1124 0.8789  2 C 1.94, 2 N 2.03
Pd: 0.1124 0.8876 0.1211  2 C 1.94, 2 N 2.03
Pd: 0.3876 0.6124 0.6211  2 C 1.94, 2 N 2.03
N: 0.2173 0.3826 0.3786  1 C 1.17
N: 0.3826 0.2173 0.6214  1 C 1.17
N: 0.7173 0.8826 0.1214  1 C 1.17
N: 0.8826 0.7173 0.8786  1 C 1.17
N: 0.1174 0.2827 0.1214  1 C 1.17
N: 0.7827 0.6174 0.6214  1 C 1.17
N: 0.2827 0.1174 0.8786  1 C 1.17
N: 0.6174 0.7827 0.3786  1 C 1.17

***

Entry from Alexandria: a relaxed PdCN2 crystal (GGA-PBE).

Summary:
V ... 46.1 Å³/cell
Space group ... R-3m

a b c (Å): 5.1329 5.1329 5.1329
angles (deg): 38.06 38.06 38.06
Last column: nearest neighbours and their distance in Å.
Positions (direct):
N: 0.0870 0.0870 0.0870  1 C 1.24
N: 0.9130 0.9130 0.9130  1 C 1.24
C: 0.0000 0.0000 0.0000  2 N 1.24
Pd: 0.5000 0.5000 0.5000  6 N 2.24

***

Entry from Alexandria: a relaxed PdCN2 crystal (GGA-PBE).

Summary:
V ... 63.7 Å³/cell
Space group ... Cmmm

a b c (Å): 3.0939 4.2607 5.1827
angles (deg): 90.00 90.00 111.29
Last column: nearest neighbours and their distance in Å.
Positions (direct):
N: 0.5000 0.0000 0.2627  1 C 1.23
N: 0.5000 0.0000 0.7373  1 C 1.23
Pd: 0.0000 0.0000 0.0000  4 N 2.06
C: 0.5000 0.0000 0.5000  2 N 1.23

***

Entry from Alexandria: a relaxed Pd2CN crystal (GGA-PBE).

Summary:
V ... 42.8 Å³/cell
Space group ... Fm-3m
Energy relative to the lowest polymorph listed for this composition ... 0.558 eV per atom

a b c (Å): 3.9267 3.9267 3.9267
angles (deg): 60.00 60.00 60.00
Last column: nearest neighbours and their distance in Å.
Positions (direct):
C: 0.0000 0.0000 0.0000  8 Pd 2.40
Pd: 0.2500 0.2500 0.2500  4 C 2.40, 4 N 2.40
Pd: 0.7500 0.7500 0.7500  4 C 2.40, 4 N 2.40
N: 0.5000 0.5000 0.5000  8 Pd 2.40

***

Entry from Alexandria: a relaxed Pd2C2N crystal (GGA-PBE).

Summary:
V ... 116.3 Å³/cell
Space group ... P4/mbm
Energy relative to the lowest polymorph listed for this composition ... 0.000 eV per atom

a b c (Å): 6.0173 6.0173 3.2118
angles (deg): 90.00 90.00 90.00
Last column: nearest neighbours and their distance in Å.
Positions (direct):
Pd: 0.2286 0.7286 0.0000  2 C 2.06, 2 N 2.14
Pd: 0.2714 0.2286 0.0000  2 C 2.06, 2 N 2.14
Pd: 0.7714 0.2714 0.0000  2 C 2.06, 2 N 2.14
Pd: 0.7286 0.7714 0.0000  2 C 2.06, 2 N 2.14
C: 0.5778 0.9222 0.5000  1 C 1.32
C: 0.4222 0.0778 0.5000  1 C 1.32
C: 0.0778 0.5778 0.5000  1 C 1.32
C: 0.9222 0.4222 0.5000  1 C 1.32
N: 0.5000 0.5000 0.0000  4 Pd 2.14
N: 0.0000 0.0000 0.0000  4 Pd 2.14

***

Entry from Alexandria: a relaxed Pd2CN crystal (GGA-PBE).

Summary:
V ... 105.7 Å³/cell
Space group ... I-42d
Energy relative to the lowest polymorph listed for this composition ... 0.000 eV per atom

a b c (Å): 4.6547 4.6547 5.8850
angles (deg): 66.70 66.70 90.00
Last column: nearest neighbours and their distance in Å.
Positions (direct):
N: 0.0000 0.0000 0.0000  4 Pd 2.09
N: 0.7500 0.2500 0.5000  4 Pd 2.09
Pd: 0.6107 0.1250 0.2500  2 C 2.01, 2 N 2.09
Pd: 0.8750 0.8607 0.7500  2 C 2.01, 2 N 2.09
Pd: 0.1393 0.6250 0.2500  2 C 2.01, 2 N 2.09
Pd: 0.3750 0.3893 0.7500  2 C 2.01, 2 N 2.09
C: 0.5000 0.5000 0.0000  4 Pd 2.01
C: 0.2500 0.7500 0.5000  4 Pd 2.01

***

Entry from Alexandria: a relaxed PdCN2 crystal (GGA-PBE).

Summary:
V ... 67.1 Å³/cell
Space group ... I-42d

a b c (Å): 4.4469 4.4469 4.6256
angles (deg): 61.27 61.27 90.00
Last column: nearest neighbours and their distance in Å.
Positions (direct):
C: 0.5000 0.5000 0.0000  4 N 1.53
C: 0.2500 0.7500 0.5000  4 N 1.53
N: 0.8750 0.7628 0.7500  2 C 1.53
N: 0.2372 0.6250 0.2500  2 C 1.53
N: 0.5128 0.1250 0.2500  2 C 1.53
N: 0.3750 0.4872 0.7500  2 C 1.53
Pd: 0.7500 0.2500 0.5000  4 N 2.13
Pd: 0.0000 0.0000 0.0000  4 N 2.13

***

Entry from Alexandria: a relaxed Pd3CN crystal (GGA-PBE).

Summary:
V ... 67.8 Å³/cell
Space group ... Pm-3m
Energy relative to the lowest polymorph listed for this composition ... 0.000 eV per atom

a b c (Å): 4.0774 4.0774 4.0774
angles (deg): 90.00 90.00 90.00
Last column: nearest neighbours and their distance in Å.
Positions (direct):
Pd: 0.5000 0.0000 0.0000  2 C 2.04
Pd: 0.0000 0.5000 0.0000  2 C 2.04
Pd: 0.0000 0.0000 0.5000  2 C 2.04
C: 0.0000 0.0000 0.0000  6 Pd 2.04
N: 0.5000 0.5000 0.5000  12 Pd 2.88

***

Entry from Alexandria: a relaxed PdC2N2 crystal (GGA-PBE).

Summary:
V ... 104.5 Å³/cell
Space group ... P4/mbm
Energy relative to the lowest polymorph listed for this composition ... 0.630 eV per atom

a b c (Å): 6.5740 6.5740 2.4191
angles (deg): 90.00 90.00 90.00
Last column: nearest neighbours and their distance in Å.
Positions (direct):
N: 0.1339 0.3661 0.5000  2 C 1.33
N: 0.8661 0.6339 0.5000  2 C 1.33
N: 0.6339 0.1339 0.5000  2 C 1.33
N: 0.3661 0.8661 0.5000  2 C 1.33
C: 0.6935 0.1935 0.0000  2 N 1.33
C: 0.8065 0.6935 0.0000  2 N 1.33
C: 0.1935 0.3065 0.0000  2 N 1.33
C: 0.3065 0.8065 0.0000  2 N 1.33
Pd: 0.5000 0.5000 0.0000  4 C 2.38, 2 Pd 2.42
Pd: 0.0000 0.0000 0.0000  4 C 2.38, 2 Pd 2.42

***

Entry from Alexandria: a relaxed PdCN2 crystal (GGA-PBE).

Summary:
V ... 62.1 Å³/cell
Space group ... C2/m

a b c (Å): 4.2685 5.1940 15.8740
angles (deg): 29.31 105.53 78.24
Last column: nearest neighbours and their distance in Å.
Positions (direct):
Pd: 0.0000 0.0000 0.0000  4 N 2.06
N: 0.0000 0.2538 0.4936  1 C 1.23
N: 0.0000 0.7463 0.5064  1 C 1.23
C: 0.0000 0.9999 0.5001  2 N 1.23

***

Entry from Alexandria: a relaxed PdC2N crystal (GGA-PBE).

Summary:
V ... 69.6 Å³/cell
Space group ... I-42d

a b c (Å): 4.5044 4.5044 4.6804
angles (deg): 61.24 61.24 90.00
Last column: nearest neighbours and their distance in Å.
Positions (direct):
Pd: 0.0000 0.0000 0.0000  4 C 2.09
Pd: 0.7500 0.2500 0.5000  4 C 2.09
C: 0.2151 0.6250 0.2500  2 N 1.59
C: 0.8750 0.7849 0.7500  2 N 1.59
C: 0.3750 0.4651 0.7500  2 N 1.59
C: 0.5349 0.1250 0.2500  2 N 1.59
N: 0.2500 0.7500 0.5000  4 C 1.59
N: 0.5000 0.5000 0.0000  4 C 1.59

***

Entry from Alexandria: a relaxed PdC2N2 crystal (GGA-PBE).

Summary:
V ... 156.8 Å³/cell
Space group ... P4_2/mnm
Energy relative to the lowest polymorph listed for this composition ... 0.308 eV per atom

a b c (Å): 6.6427 6.6427 3.5527
angles (deg): 90.00 90.00 90.00
Last column: nearest neighbours and their distance in Å.
Positions (direct):
Pd: 0.0000 0.0000 0.0000  2 C 1.98
Pd: 0.5000 0.5000 0.5000  2 C 1.98
C: 0.7112 0.2888 0.5000  1 N 1.18
C: 0.2112 0.2112 0.0000  1 N 1.18
C: 0.7888 0.7888 0.0000  1 N 1.18
C: 0.2888 0.7112 0.5000  1 N 1.18
N: 0.6631 0.6631 0.0000  1 C 1.18
N: 0.1631 0.8369 0.5000  1 C 1.18
N: 0.3369 0.3369 0.0000  1 C 1.18
N: 0.8369 0.1631 0.5000  1 C 1.18

***

| no. | spin magnetization (μB per atom) | raw formation energy (eV/atom) | VASP energy (eV per atom) |
| --- | --- | --- | --- |
| 1 | 0.0000 | 0.364 | -7.694 |
| 2 | 0.0000 | 0.525 | -7.242 |
| 3 | 0.0000 | 0.444 | -7.323 |
| 4 | 0.0000 | 1.656 | -5.328 |
| 5 | 0.1239 | 1.226 | -6.206 |
| 6 | 0.0000 | 1.098 | -5.885 |
| 7 | 0.0000 | 0.921 | -6.846 |
| 8 | 0.2373 | 1.223 | -5.402 |
| 9 | 0.0000 | 0.994 | -7.064 |
| 10 | 0.0000 | 0.444 | -7.323 |
| 11 | 0.0001 | 1.460 | -6.531 |
| 12 | 0.0000 | 0.672 | -7.387 |